This record from Alexandria describes an optimized crystal structure of Ba6Na2In. The functional is GGA-PBE.

a b c (Å): 19.6899 8.9852 6.1909
angles (deg): 90.00 108.27 90.00
With the nearest neighbours (Å) after each atom.
Space group C2/m (No. 12)
Asymmetric unit:
Ba 0.0000 0.2223 0.0000 [4 per cell]  2 In 3.68, 2 Na 3.98, 1 Ba 3.99
Ba 0.1558 0.2364 0.6550 [8 per cell]  1 In 3.61, 3 Na 3.90-3.95
Na 0.1662 0.5000 0.1650 [4 per cell]  8 Ba 3.90-3.98
In 0.0000 0.0000 0.5000 [2 per cell]  8 Ba 3.61-3.68

calculated volume = 520 Å³/f.u.
ΔE to the lowest computed polymorph = 97.9 meV per atom
D(E_F) = 22.69 states/eV/cell
VASP energy = -16.6 eV/f.u.